Cs4La3DyTe8: optimized geometry, PBE-GGA.

Its uncorrected formation energy is -1.468 eV per atom. The calculation puts the total moment at 0.00 μB per atom.

It has space group R-3m (No. 166, hexagonal axes), with a = 9.4337 Å, b = 9.4337 Å, c = 26.7883 Å, α = 90.00°, β = 90.00° and γ = 120.00°. The inequivalent atoms are Cs at (0.0000, 0.0000, 0.0000), Cs at (0.0000, 0.5000, 0.0000), La at (0.0000, 0.5000, 0.5000), Dy at (0.0000, 0.0000, 0.5000), Te at (0.0000, 0.0000, 0.2325) and Te at (0.0103, 0.5051, 0.2310).